(1)
A plane-wave DFT calculation with GGA-PBE was carried out for PmNd2Y6Mg after structural relaxation.

Summary:
Energy relative to the elements, eV/atom: 0.107
Uncorrected energy, eV per atom: -5.36

Unit cell a=9.7475 b=8.6650 c=8.6650 alpha=115.77 beta=95.13 gamma=95.13
Positions (direct):
Y: 0.1112 0.6957 0.4917
Nd: 0.9457 0.7054 0.7996
Mg: 0.2500 0.4012 0.5988
Y: 0.6887 0.0090 0.5707
Y: 0.5550 0.7436 0.1182
Y: 0.8113 0.4293 0.9910
Pm: 0.7500 0.0155 0.9845
Mg: 0.7500 0.5988 0.4012
Nd: 0.0543 0.2946 0.2004
Y: 0.3888 0.5083 0.3043
Nd: 0.5543 0.2004 0.2946
Y: 0.8888 0.3043 0.5083
Y: 0.3113 0.9910 0.4293
Y: 0.4450 0.2564 0.8818
Y: 0.0550 0.1182 0.7436
Y: 0.6112 0.4917 0.6957
Y: 0.1887 0.5707 0.0090
Y: 0.9450 0.8818 0.2564
Nd: 0.4457 0.7996 0.7054
Pm: 0.2500 0.9845 0.0155

=====

(2)
A plane-wave DFT calculation with GGA-PBE was carried out for Ag5Ir4 after structural relaxation.

Summary:
Energy relative to the elements, eV/atom: 0.384
Uncorrected energy, eV per atom: -5.14

Unit cell a=6.4092 b=6.4092 c=6.4092 alpha=95.48 beta=95.48 gamma=144.01
Positions (direct):
Ir: 0.3507 0.0000 0.3507
Ag: 0.6676 0.3324 0.0000
Ag: 0.3324 0.3324 0.6649
Ag: 0.6676 0.6676 0.3351
Ir: 0.0000 0.3507 0.3507
Ir: 0.6493 0.0000 0.6493
Ir: 0.0000 0.6493 0.6493
Ag: 0.3324 0.6676 0.0000
Ag: 0.0000 0.0000 0.0000